Ba2Sn3Bi5 | PBE-GGA | optimized geometry

```
Ba2Sn3Bi5
1.0
-6.866 -1.033 1.790
-3.817 -9.409 -5.711
-0.939 -10.658 4.608
Ba Sn Bi
4 6 10
direct
0.127 0.622 0.123
0.627 0.123 0.622
0.873 0.378 0.877
0.373 0.877 0.378
0.375 0.522 0.727
0.875 0.727 0.522
0.625 0.478 0.273
0.125 0.273 0.478
0.250 0.000 0.000
0.750 0.000 0.000
0.382 0.233 0.004
0.882 0.004 0.233
0.618 0.767 0.996
0.118 0.996 0.767
0.503 0.747 0.747
0.497 0.253 0.253
0.750 0.500 0.500
0.250 0.500 0.500
0.997 0.253 0.253
0.003 0.747 0.747
```

Output
- Magnetic moment: 0.0 Bohr magnetons per cell
- Calculated formation energy: -0.328 eV/atom
- V: 37.45 Å³ per atom
- ρ: 7431 kg/m3
- D(E_F): 0.444 states/eV per atom
- Energy: -77.072 eV for the cell shown